Below is LiMo2Pt after structural relaxation, with properties calculated at the PBE level.

The structure in POSCAR format:
```
LiMo2Pt
1.0
-2.155 1.358 -0.809
-1.163 -3.136 -2.164
-2.891 -1.965 4.402
Li Mo Pt
1 2 1
direct
0.500 0.500 0.734 Li
0.000 0.000 0.994 Mo
0.500 0.500 0.249 Mo
0.000 0.000 0.523 Pt
```

Values from the calculation:
E_form (meV per atom): -7
Uncorrected energy (eV/atom): -7.411
E above lowest polymorph (eV/atom): 0.073



Below is LiMo2Pt after structural relaxation, with properties calculated at the PBE level.

The structure in POSCAR format:
```
LiMo2Pt
1.0
-4.547 -0.648 -2.294
-4.044 -1.421 2.826
3.678 3.557 -0.417
Li Mo Pt
1 2 1
direct
0.750 0.250 0.500 Li
0.999 0.999 0.000 Mo
0.501 0.501 0.000 Mo
0.250 0.750 0.500 Pt
```

Values from the calculation:
E_form (meV per atom): -80
Uncorrected energy (eV/atom): -7.484
E above lowest polymorph (eV/atom): 0.000



Below is Li2MoPt after structural relaxation, with properties calculated at the PBE level.

The structure in POSCAR format:
```
Li2MoPt
1.0
-1.352 -0.476 2.244
-1.303 -0.653 -2.228
3.605 -8.471 0.376
Li Mo Pt
2 1 1
direct
0.000 0.000 0.983 Li
0.000 0.000 0.517 Li
0.500 0.500 0.250 Mo
0.500 0.500 0.750 Pt
```

Values from the calculation:
E_form (meV per atom): -60
Uncorrected energy (eV/atom): -5.235
E above lowest polymorph (eV/atom): 0.052



Below is Li2MoPt after structural relaxation, with properties calculated at the PBE level.

The structure in POSCAR format:
```
Li2MoPt
1.0
5.069 0.015 0.004
2.284 4.525 -0.004
-3.067 -3.258 2.383
Li Mo Pt
2 1 1
direct
0.994 0.994 0.000 Li
0.767 0.267 0.500 Li
0.500 0.500 0.000 Mo
0.239 0.739 0.500 Pt
```

Values from the calculation:
E_form (meV per atom): 71
Uncorrected energy (eV/atom): -5.104
E above lowest polymorph (eV/atom): 0.183



Below is Li2MoPt9 after structural relaxation, with properties calculated at the PBE level.

The structure in POSCAR format:
```
Li2MoPt9
1.0
3.916 0.000 0.000
0.000 3.916 0.000
0.000 0.000 11.690
Li Mo Pt
2 1 9
direct
0.000 0.000 0.341 Li
0.000 0.000 0.659 Li
0.000 0.000 0.000 Mo
0.500 0.500 0.000 Pt
0.500 0.500 0.335 Pt
0.500 0.500 0.665 Pt
0.500 0.000 0.168 Pt
0.500 0.000 0.500 Pt
0.500 0.000 0.832 Pt
0.000 0.500 0.168 Pt
0.000 0.500 0.500 Pt
0.000 0.500 0.832 Pt
```

Values from the calculation:
E_form (meV per atom): -377
Uncorrected energy (eV/atom): -6.129



Below is LiMo2Pt after structural relaxation, with properties calculated at the PBE level.

The structure in POSCAR format:
```
LiMo2Pt
1.0
4.612 -0.006 0.001
3.839 2.556 0.001
0.378 0.114 5.098
Li Mo Pt
1 2 1
direct
0.244 0.244 0.259 Li
0.000 0.000 0.006 Mo
0.760 0.760 0.756 Mo
0.496 0.496 0.479 Pt
```

Values from the calculation:
E_form (meV per atom): 5
Uncorrected energy (eV/atom): -7.400
E above lowest polymorph (eV/atom): 0.084



What did the sixth record say?
Below is LiMo2Pt after structural relaxation, with properties calculated at the PBE level.

The structure in POSCAR format:
```
LiMo2Pt
1.0
4.612 -0.006 0.001
3.839 2.556 0.001
0.378 0.114 5.098
Li Mo Pt
1 2 1
direct
0.244 0.244 0.259 Li
0.000 0.000 0.006 Mo
0.760 0.760 0.756 Mo
0.496 0.496 0.479 Pt
```

Values from the calculation:
E_form (meV per atom): 5
Uncorrected energy (eV/atom): -7.400
E above lowest polymorph (eV/atom): 0.084